Model A:
! KTmB4, relaxed, DFT GGA-PBE; values from VASP
! size of the total moment: 0.013 μB per cell
&SYSTEM
  ibrav = 0, nat = 6, ntyp = 3
/
ATOMIC_SPECIES
B 10.81 B.upf
K 39.10 K.upf
Tm 168.93 Tm.upf
CELL_PARAMETERS angstrom
3.1959 0.0000 0.0000
-1.5979 2.7677 0.0000
0.0000 0.0000 8.7327
ATOMIC_POSITIONS angstrom
B 1.5979 0.9226 1.8719
B 0.0000 1.8451 1.8719
B 1.5979 0.9226 6.8608
B 0.0000 1.8451 6.8608
K 0.0000 0.0000 4.3663
Tm 0.0000 0.0000 0.0000

---

Model B:
! KTmB4, relaxed, DFT GGA-PBE; values from VASP
! size of the total moment: 0.001 μB per cell
&SYSTEM
  ibrav = 0, nat = 6, ntyp = 3
/
ATOMIC_SPECIES
B 10.81 B.upf
K 39.10 K.upf
Tm 168.93 Tm.upf
CELL_PARAMETERS angstrom
-3.8347 1.1692 3.5115
-2.0658 4.4791 -2.0181
0.6498 -5.2465 -0.6745
ATOMIC_POSITIONS angstrom
B -2.4073 0.0917 1.2399
B -1.6364 1.8554 -1.4962
B -3.6144 -1.4536 2.3151
B -2.8435 0.3101 -0.4210
K 0.0000 0.0000 0.0000
Tm -2.9503 2.8241 0.7467

---

Most stable structure, least stable structure: model A, model B.